## a
HfMg14Al: optimized geometry, GGA-PBE.

```
HfMg14Al
1.0
-5.410 0.786 -3.237
-0.019 -1.338 6.211
0.165 10.062 2.167
Mg Al Hf
14 1 1
Direct
0.328 0.167 0.500
0.168 0.336 0.255
0.333 0.169 0.000
0.831 0.667 0.000
0.664 0.832 0.255
0.832 0.168 0.000
0.168 0.336 0.745
0.171 0.829 0.748
0.833 0.672 0.500
0.671 0.329 0.258
0.171 0.829 0.252
0.664 0.832 0.745
0.333 0.667 0.000
0.671 0.329 0.742
0.834 0.166 0.500
0.329 0.671 0.500
```

## Properties
As for the space group: No. 38.

***

## b
HfMg14Al: optimized geometry, GGA-PBE.

```
HfMg14Al
1.0
4.335 1.008 4.559
-4.911 -3.912 1.083
5.442 -7.786 -3.451
Al Mg Hf
1 14 1
Direct
0.000 0.000 0.000
0.667 0.333 0.257
0.008 0.504 0.500
0.677 0.838 0.249
0.162 0.323 0.751
0.162 0.323 0.249
0.996 0.498 0.000
0.677 0.838 0.751
0.667 0.333 0.743
0.162 0.838 0.249
0.496 0.992 0.500
0.162 0.838 0.751
0.502 0.004 0.000
0.502 0.498 0.000
0.496 0.504 0.500
0.000 0.000 0.500
```

## Properties
As for the space group: No. 187.

***

Relative energies, in meV/atom, with the most stable structure set to zero: a 0; b 24.

***

## a
Hf2MnAl2: optimized geometry, GGA-PBE.

```
Hf2MnAl2
1.0
4.010 0.000 0.000
0.000 4.010 0.000
2.005 2.005 6.433
Al Hf Mn
2 2 1
Direct
0.406 0.406 0.187
0.594 0.594 0.813
0.250 0.750 0.500
0.750 0.250 0.500
0.000 0.000 0.000
```

## Properties
As for the space group: No. 139.

***

## b
Hf2MnAl2: optimized geometry, GGA-PBE.

```
Hf2MnAl2
1.0
6.697 0.000 0.000
0.000 6.697 0.000
0.000 0.000 3.893
Al Hf Mn
4 4 2
Direct
0.634 0.134 0.000
0.134 0.366 0.000
0.366 0.866 0.000
0.866 0.634 0.000
0.172 0.672 0.500
0.828 0.328 0.500
0.328 0.172 0.500
0.672 0.828 0.500
0.500 0.500 0.000
0.000 0.000 0.000
```

## Properties
As for the space group: No. 127.

***

Relative energies, in meV/atom, with the most stable structure set to zero: a 556; b 0.

***

## a
HfMn2Al2: optimized geometry, GGA-PBE.

```
HfMn2Al2
1.0
-3.994 3.293 -5.126
-4.016 -6.032 -0.745
-1.793 0.946 2.005
Hf Mn Al
2 4 4
Direct
0.000 0.000 0.000
0.500 0.500 0.000
0.173 0.673 0.500
0.827 0.327 0.500
0.327 0.173 0.500
0.673 0.827 0.500
0.625 0.125 0.000
0.375 0.875 0.000
0.875 0.625 0.000
0.125 0.375 0.000
```

## Properties
As for the space group: No. 127.

***

## b
HfMn2Al2: optimized geometry, GGA-PBE.

```
HfMn2Al2
1.0
7.402 0.000 0.000
0.000 7.402 0.000
0.000 0.000 2.768
Hf Al Mn
2 4 4
Direct
0.000 0.000 0.000
0.500 0.500 0.000
0.828 0.328 0.500
0.172 0.672 0.500
0.328 0.172 0.500
0.672 0.828 0.500
0.121 0.379 0.000
0.621 0.121 0.000
0.879 0.621 0.000
0.379 0.879 0.000
```

## Properties
As for the space group: No. 127.

***

Relative energies, in meV/atom, with the most stable structure set to zero: a 0; b 21.

***

## a
HfMn2Al2: optimized geometry, GGA-PBE.

```
HfMn2Al2
1.0
-1.099 1.163 -3.385
2.728 -2.020 -1.580
-2.701 -4.874 -2.869
Al Mn Hf
2 2 1
Direct
0.391 0.391 0.219
0.609 0.609 0.781
0.250 0.750 0.500
0.750 0.250 0.500
0.000 0.000 0.000
```

## Properties
As for the space group: No. 139.

***

## b
HfMn2Al2: optimized geometry, GGA-PBE.

```
HfMn2Al2
1.0
-1.630 -3.130 -1.295
3.386 -1.546 -0.526
-1.162 -1.861 11.414
Mn Hf Al
4 2 4
Direct
0.250 0.750 0.500
0.069 0.069 0.139
0.750 0.250 0.500
0.931 0.931 0.861
0.617 0.617 0.234
0.383 0.383 0.766
0.824 0.824 0.648
0.176 0.176 0.352
0.000 0.500 0.000
0.500 0.000 0.000
```

## Properties
As for the space group: No. 139.

***

Relative energies, in meV/atom, with the most stable structure set to zero: a 15; b 0.

***

## a
HfAl2Mo: optimized geometry, GGA-PBE.

```
HfAl2Mo
1.0
-2.139 1.095 -2.752
-4.989 -4.652 2.028
-4.321 7.378 6.293
Al Hf Mo
8 4 4
Direct
0.250 0.436 0.334
0.750 0.802 0.017
0.750 0.564 0.666
0.250 0.698 0.517
0.750 0.064 0.834
0.750 0.302 0.483
0.250 0.936 0.166
0.250 0.198 0.983
0.750 0.237 0.194
0.750 0.737 0.306
0.250 0.763 0.806
0.250 0.263 0.694
0.750 0.450 0.910
0.250 0.050 0.410
0.750 0.950 0.590
0.250 0.550 0.090
```

## Properties
As for the space group: No. 62.

***

## b
HfAl2Mo: optimized geometry, GGA-PBE.

```
HfAl2Mo
1.0
-2.206 1.401 1.337
-1.197 -1.129 2.431
5.041 4.817 6.491
Al Hf Mo
2 1 1
Direct
0.256 0.256 0.233
0.744 0.744 0.767
0.500 0.500 0.500
0.000 0.000 0.000
```

## Properties
As for the space group: No. 166.

***

Relative energies, in meV/atom, with the most stable structure set to zero: a 0; b 233.

***

## a
HfAl2Mo: optimized geometry, GGA-PBE.

```
HfAl2Mo
1.0
-0.196 -3.963 -2.254
-3.017 -0.557 -3.377
1.435 -0.239 -4.325
Al Hf Mo
2 1 1
Direct
0.250 0.250 0.250
0.750 0.750 0.750
0.500 0.500 0.500
0.000 0.000 0.000
```

## Properties
As for the space group: No. 225.

***

## b
HfAl2Mo: optimized geometry, GGA-PBE.

```
HfAl2Mo
1.0
-1.528 -2.313 2.014
2.658 -2.121 -0.418
2.579 2.321 4.621
Al Hf Mo
2 1 1
Direct
0.000 0.000 0.224
0.000 0.000 0.776
0.500 0.500 0.500
0.500 0.500 0.000
```

## Properties
As for the space group: No. 123.

***

Relative energies, in meV/atom, with the most stable structure set to zero: a 87; b 0.

***

## a
Hf6AlMo: optimized geometry, GGA-PBE.

```
Hf6AlMo
1.0
4.375 0.000 1.317
-0.397 4.357 1.318
-0.164 -0.181 8.469
Hf Mo Al
6 1 1
Direct
0.387 0.887 0.227
0.113 0.613 0.773
0.887 0.387 0.227
0.250 0.251 0.499
0.613 0.113 0.773
0.750 0.749 0.501
0.500 0.500 0.000
0.000 0.000 0.000
```

## Properties
As for the space group: No. 139.

***

## b
Hf6AlMo: optimized geometry, GGA-PBE.

```
Hf6AlMo
1.0
-0.735 5.107 2.742
-4.366 3.866 -0.384
-7.649 -2.418 2.009
Hf Mo Al
6 1 1
Direct
0.646 0.896 0.875
0.258 0.741 0.759
0.354 0.104 0.125
0.742 0.259 0.241
0.874 0.585 0.645
0.126 0.415 0.355
0.000 0.000 0.000
0.500 0.500 0.500
```

## Properties
As for the space group: No. 12.

***

Relative energies, in meV/atom, with the most stable structure set to zero: a 0; b 34.

***

## a
Hf3AlMo: optimized geometry, GGA-PBE.

```
Hf3AlMo
1.0
-4.646 0.325 -1.788
1.775 -0.237 -4.656
-0.388 -4.972 0.106
Hf Al Mo
3 1 1
Direct
0.000 0.500 0.000
0.500 0.000 0.000
0.000 0.000 0.500
0.500 0.500 0.500
0.000 0.000 0.000
```

## Properties
As for the space group: No. 221.

***

## b
Hf3AlMo: optimized geometry, GGA-PBE.

```
Hf3AlMo
1.0
4.864 0.000 0.000
0.000 4.864 0.000
0.000 0.000 4.864
Hf Al Mo
3 1 1
Direct
0.000 0.500 0.000
0.000 0.000 0.500
0.500 0.000 0.000
0.000 0.000 0.000
0.500 0.500 0.500
```

## Properties
As for the space group: No. 221.

***

Relative energies, in meV/atom, with the most stable structure set to zero: a 0; b 368.

***

## a
HfAlMo2Se: optimized geometry, GGA-PBE.

```
HfAlMo2Se
1.0
4.552 0.000 0.000
0.000 5.043 0.000
0.000 0.000 4.552
Mo Se Al Hf
2 1 1 1
Direct
0.000 0.000 0.500
0.500 0.000 0.000
0.500 0.500 0.500
0.000 0.000 0.000
0.000 0.500 0.000
```

## Properties
As for the space group: No. 123.

***

## b
HfAlMo2Se: optimized geometry, GGA-PBE.

```
HfAlMo2Se
1.0
4.855 0.000 0.000
0.000 5.084 0.000
0.000 0.000 4.855
Se Mo Al Hf
1 2 1 1
Direct
0.500 0.500 0.500
0.000 0.000 0.500
0.500 0.000 0.000
0.000 0.500 0.000
0.000 0.000 0.000
```

## Properties
As for the space group: No. 123.

***

Relative energies, in meV/atom, with the most stable structure set to zero: a 0; b 455.

***

## a
HfAl3N: optimized geometry, GGA-PBE.

```
HfAl3N
1.0
-2.060 -1.793 4.506
2.432 -4.618 -0.725
4.196 1.796 2.633
Al N Hf
3 1 1
Direct
0.500 0.000 0.000
0.000 0.500 0.000
0.000 0.000 0.500
0.500 0.500 0.500
0.000 0.000 0.000
```

## Properties
As for the space group: No. 221.

***

## b
HfAl3N: optimized geometry, GGA-PBE.

```
HfAl3N
1.0
-1.935 1.998 3.131
-1.703 -3.615 1.255
3.301 -0.693 2.482
Al Hf N
3 1 1
Direct
0.500 0.000 0.000
0.000 0.000 0.500
0.000 0.500 0.000
0.500 0.500 0.500
0.000 0.000 0.000
```

## Properties
As for the space group: No. 221.

***

Relative energies, in meV/atom, with the most stable structure set to zero: a 2154; b 0.

***

## a
Hf4Al2N: optimized geometry, GGA-PBE.

```
Hf4Al2N
1.0
-0.604 -3.000 0.502
3.155 0.224 5.130
-9.852 1.582 -2.390
Hf Al N
4 2 1
Direct
0.500 0.184 0.253
0.500 0.959 0.890
0.000 0.323 0.569
0.000 0.820 0.574
0.500 0.405 0.859
0.500 0.737 0.284
0.000 0.071 0.071
```

## Properties
As for the space group: No. 10.

***

## b
Hf4Al2N: optimized geometry, GGA-PBE.

```
Hf4Al2N
1.0
4.254 0.000 0.000
0.000 4.254 0.000
2.127 2.127 7.362
Hf Al N
4 2 1
Direct
0.161 0.161 0.679
0.839 0.839 0.321
0.000 0.500 0.000
0.500 0.000 0.000
0.642 0.642 0.717
0.358 0.358 0.283
0.000 0.000 0.000
```

## Properties
As for the space group: No. 139.

***

Relative energies, in meV/atom, with the most stable structure set to zero: a 215; b 0.

***

## a
HfAlTe2N: optimized geometry, GGA-PBE.

```
HfAlTe2N
1.0
-1.010 4.912 2.306
-5.185 -1.565 1.062
1.014 -1.250 3.107
Te N Al Hf
2 1 1 1
Direct
0.500 0.000 0.000
0.000 0.500 0.000
0.000 0.000 0.500
0.000 0.000 0.000
0.500 0.500 0.500
```

## Properties
As for the space group: No. 123.

***

## b
HfAlTe2N: optimized geometry, GGA-PBE.

```
HfAlTe2N
1.0
-1.482 -3.422 4.375
5.348 0.345 2.081
-1.042 3.196 2.147
Te Al N Hf
2 1 1 1
Direct
0.500 0.000 0.000
0.000 0.500 0.000
0.500 0.500 0.500
0.000 0.000 0.500
0.000 0.000 0.000
```

## Properties
As for the space group: No. 123.

***

Relative energies, in meV/atom, with the most stable structure set to zero: a 120; b 0.